# 1
BeVTc2O: optimized geometry, PBE with a Hubbard U.

Lattice parameters (Å, degrees): 4.0209 4.0209 3.8458 90.00 90.00 90.00
Sites, in units of the cell vectors:
Be1 0.0000 0.0000 0.0000
V1 0.5000 0.5000 0.0000
Tc1 0.0000 0.5000 0.5000
Tc2 0.5000 0.0000 0.5000
O1 0.5000 0.5000 0.5000

Results
**E_tot**: -7.2258 eV per atom
**Space-group type**: P4/mmm (123)
**Magnetization**: 0.00 μB per atom

---

# 2
Be2VTcO: optimized geometry, PBE with a Hubbard U.

Lattice parameters (Å, degrees): 4.1955 4.1955 4.4394 90.00 90.00 90.00
Sites, in units of the cell vectors:
Be1 0.0000 0.5000 0.0000
Be2 0.5000 0.0000 0.0000
V1 0.0000 0.0000 0.0000
Tc1 0.0000 0.0000 0.5000
O1 0.5000 0.5000 0.5000

Results
**E_tot**: -4.0241 eV per atom
**Space-group type**: P4/mmm (123)
**Magnetization**: 0.35 μB per atom